[1]
CePrIn | PBE-GGA | relaxed

The energy above the most stable polymorph in this dataset is 35.4 meV/atom. The total magnetization is 0.242 μB/atom. The calculation puts the density of states at the Fermi level at 25.6 states/eV per cell. The energy of formation from the pure elements is -0.2537 eV/atom. The calculated total energy is -56.85 eV/cell.

The structure belongs to space group Cmcm (No. 63); the cell edges are 4.811, 15.762 and 4.671 Å and the angles 90.00°, 90.00° and 90.00°. Symmetry generates all atoms from Ce at (0.000, 0.055, 0.250), Pr at (0.000, 0.235, 0.750) and In at (0.000, 0.406, 0.250).

***

[2]
LiGeAs2O6 | PBE-GGA | relaxed

The total magnetization is 0.099 μB/atom. The calculation puts the density of states at the Fermi level at 2.3 states/eV per cell. The value obtained for the formation energy (no corrections) is -1.35 eV per atom. The calculated total energy is -177.21 eV/cell.

The structure belongs to space group R3 (No. 146, hexagonal axes); the cell edges are 5.1238, 5.1238 and 18.4460 Å and the angles 90.00°, 90.00° and 120.00°. Symmetry generates all atoms from Li at (0.0000, 0.0000, 0.0000), Ge at (0.0000, 0.0000, 0.5905), As at (0.0000, 0.0000, 0.2694), As at (0.0000, 0.0000, 0.8178), O at (0.0032, 0.6309, 0.1973) and O at (0.0549, 0.3364, 0.3159).

***

[3]
NaPS2 | PBE-GGA | relaxed

The total magnetization is 0.000 μB/atom. The calculation puts the density of states at the Fermi level at 0.0 states/eV per cell. The value obtained for the formation energy (no corrections) is -0.57 eV per atom. The calculated total energy is -34.56 eV/cell.

The structure belongs to space group P1 (No. 1); the cell edges are 5.510, 6.221 and 6.772 Å and the angles 75.46°, 72.26° and 84.54°. Symmetry generates all atoms from Na at (0.000, 0.000, 0.000), Na at (0.473, 0.532, 0.038), P at (0.099, 0.554, 0.609), P at (0.399, 0.809, 0.481), S at (0.008, 0.490, 0.936), S at (0.438, 0.993, 0.182), S at (0.491, 0.938, 0.689) and S at (0.516, 0.476, 0.488).

***

[4]
U2TiTl2S6 | PBE-GGA | relaxed

The total magnetization is 0.546 μB/atom. The calculation puts the density of states at the Fermi level at 18.1 states/eV per cell. The value obtained for the formation energy (no corrections) is -1.13 eV per atom. The calculated total energy is -144.73 eV/cell.

The structure belongs to space group C2/m (No. 12); the cell edges are 6.636, 11.401 and 8.032 Å and the angles 90.00°, 106.37° and 90.00°. Symmetry generates all atoms from U at (0.000, 0.166, 0.000), Ti at (0.000, 0.500, 0.000), Tl at (0.000, 0.329, 0.500), S at (0.223, 0.343, 0.191) and S at (0.245, 0.500, 0.807).

***

[5]
RbTmAs2O8 | PBE-GGA | relaxed

The total magnetization is 0.170 μB/atom. The calculation puts the density of states at the Fermi level at 10.5 states/eV per cell. The value obtained for the formation energy (no corrections) is -1.62 eV per atom. The calculated total energy is -73.82 eV/cell.

The structure belongs to space group P-3 (No. 147); the cell edges are 5.8121, 5.8121 and 8.0568 Å and the angles 90.00°, 90.00° and 120.00°. Symmetry generates all atoms from Rb at (0.0000, 0.0000, 0.0000), Tm at (0.0000, 0.0000, 0.5000), As at (0.3333, 0.6667, 0.7331), O at (0.1704, 0.3443, 0.6675) and O at (0.3333, 0.6667, 0.9475).

***

[6]
PmMn2BC | PBE-GGA | relaxed

The total magnetization is 0.000 μB/atom. The calculation puts the density of states at the Fermi level at 14.3 states/eV per cell. The energy of formation from the pure elements is -0.2202 eV/atom. The calculated total energy is -160.37 eV/cell.

The structure belongs to space group Cmcm (No. 63); the cell edges are 3.653, 9.873 and 6.803 Å and the angles 90.00°, 90.00° and 90.00°. Symmetry generates all atoms from Pm at (0.000, 0.039, 0.250), Mn at (0.000, 0.315, 0.059), B at (0.000, 0.236, 0.750) and C at (0.000, 0.500, 0.000).

***

[7]
LaScTl2 | PBE-GGA | relaxed

The total magnetization is 0.000 μB/atom. The calculation puts the density of states at the Fermi level at 9.9 states/eV per cell. The energy of formation from the pure elements is -0.2653 eV/atom. The calculated total energy is -34.11 eV/cell.

The structure belongs to space group C2/m (No. 12); the cell edges are 8.464, 4.916 and 6.364 Å and the angles 90.00°, 116.63° and 90.00°. Symmetry generates all atoms from La at (0.000, 0.000, 0.000), Sc at (0.000, 0.500, 0.500) and Tl at (0.229, 0.000, 0.686).

***

[8]
ZnMoN2 | PBE-GGA | relaxed

The total magnetization is 0.000 μB/atom. The calculation puts the density of states at the Fermi level at 0.8 states/eV per cell. The value obtained for the formation energy (no corrections) is -0.01 eV per atom. The calculated total energy is -115.17 eV/cell.

The structure belongs to space group I-42d (No. 122); the cell edges are 4.738, 4.738 and 9.064 Å and the angles 90.00°, 90.00° and 90.00°. Symmetry generates all atoms from Zn at (0.000, 0.000, 0.000), Mo at (0.000, 0.000, 0.500) and N at (0.232, 0.250, 0.625).

***

[9]
Rb2Tl5Cd3 | PBE-GGA | relaxed

The total magnetization is 0.000 μB/atom. The calculation puts the density of states at the Fermi level at 24.1 states/eV per cell. The energy of formation from the pure elements is -0.0472 eV/atom. The calculated total energy is -67.94 eV/cell.

The structure belongs to space group Ibam (No. 72); the cell edges are 12.619, 14.781 and 7.483 Å and the angles 90.00°, 90.00° and 90.00°. Symmetry generates all atoms from Rb at (0.246, 0.129, 0.000), Tl at (0.000, 0.000, 0.250), Tl at (0.000, 0.258, 0.250), Tl at (0.139, 0.387, 0.000), Cd at (0.000, 0.500, 0.250) and Cd at (0.124, 0.130, 0.500).

***

[10]
BaTlCuAg2 | PBE-GGA | relaxed

The total magnetization is 0.000 μB/atom. The calculation puts the density of states at the Fermi level at 2.1 states/eV per cell. The energy of formation from the pure elements is -0.0135 eV/atom. The calculated total energy is -14.15 eV/cell.

The structure belongs to space group P4/mmm (No. 123); the cell edges are 5.170, 5.170 and 5.077 Å and the angles 90.00°, 90.00° and 90.00°. Symmetry generates all atoms from Ba at (0.000, 0.000, 0.000), Tl at (0.500, 0.500, 0.000), Cu at (0.500, 0.500, 0.500) and Ag at (0.000, 0.500, 0.500).

***

[11]
PaI3F3 | PBE-GGA | relaxed

The total magnetization is 0.000 μB/atom. The calculation puts the density of states at the Fermi level at 3.7 states/eV per cell. The value obtained for the formation energy (no corrections) is -2.13 eV per atom. The calculated total energy is -69.34 eV/cell.

The structure belongs to space group P2_1/m (No. 11); the cell edges are 6.422, 6.118 and 11.683 Å and the angles 90.00°, 91.92° and 90.00°. Symmetry generates all atoms from Pa at (0.091, 0.250, 0.276), I at (0.121, 0.250, 0.710), I at (0.193, 0.750, 0.926), I at (0.376, 0.750, 0.289), F at (0.145, 0.750, 0.611), F at (0.288, 0.250, 0.416) and F at (0.319, 0.250, 0.159).

***

[12]
CaV2SnH | PBE-GGA | relaxed

The total magnetization is 1.400 μB/atom. The calculation puts the density of states at the Fermi level at 7.6 states/eV per cell. The calculated total energy is -21.35 eV/cell.

The structure belongs to space group P4/mmm (No. 123); the cell edges are 5.176, 5.176 and 5.998 Å and the angles 90.00°, 90.00° and 90.00°. Symmetry generates all atoms from Ca at (0.000, 0.000, 0.000), V at (0.000, 0.500, 0.500), Sn at (0.000, 0.000, 0.500) and H at (0.500, 0.500, 0.000).

***

[13]
SrTlSi | PBE-GGA | relaxed

The energy above the most stable polymorph in this dataset is 289.6 meV/atom. The total magnetization is 0.000 μB/atom. The calculation puts the density of states at the Fermi level at 1.3 states/eV per cell. The value obtained for the formation energy (no corrections) is -0.04 eV per atom. The calculated total energy is -19.16 eV/cell.

The structure belongs to space group I4mm (No. 107); the cell edges are 3.759, 3.759 and 11.645 Å and the angles 90.00°, 90.00° and 90.00°. Symmetry generates all atoms from Sr at (0.000, 0.000, 0.000), Tl at (0.000, 0.000, 0.702) and Si at (0.000, 0.000, 0.320).

***

[14]
BaNi2Sb | PBE-GGA | relaxed

The total magnetization is 0.000 μB/atom. The calculation puts the density of states at the Fermi level at 4.1 states/eV per cell. The value obtained for the formation energy (no corrections) is -0.22 eV per atom. The calculated total energy is -18.47 eV/cell.

The structure belongs to space group Pm (No. 6); the cell edges are 4.747, 4.211 and 5.221 Å and the angles 90.00°, 102.92° and 90.00°. Symmetry generates all atoms from Ba at (0.000, 0.000, 0.000), Ni at (0.175, 0.500, 0.559), Ni at (0.425, 0.000, 0.547) and Sb at (0.644, 0.500, 0.410).

***

[15]
YCu3Br | PBE-GGA | relaxed

The energy above the most stable polymorph in this dataset is 0.0 meV/atom. The total magnetization is 0.000 μB/atom. The calculation puts the density of states at the Fermi level at 3.3 states/eV per cell. The value obtained for the formation energy (no corrections) is 0.67 eV per atom. The calculated total energy is -17.07 eV/cell.

The structure belongs to space group Pm-3m (No. 221); the cell edges are 4.744, 4.744 and 4.744 Å and the angles 90.00°, 90.00° and 90.00°. Symmetry generates all atoms from Y at (0.000, 0.000, 0.000), Cu at (0.000, 0.500, 0.500) and Br at (0.500, 0.500, 0.500).

***

[16]
Ba2CaRe2 | PBE-GGA | relaxed

The energy above the most stable polymorph in this dataset is 0.0 meV/atom. The total magnetization is 0.000 μB/atom. The calculation puts the density of states at the Fermi level at 6.2 states/eV per cell. The energy of formation from the pure elements is 0.8959 eV/atom. The calculated total energy is -52.53 eV/cell.

The structure belongs to space group P4/mbm (No. 127); the cell edges are 8.116, 8.116 and 5.096 Å and the angles 90.00°, 90.00° and 90.00°. Symmetry generates all atoms from Ba at (0.175, 0.325, 0.000), Ca at (0.000, 0.000, 0.500) and Re at (0.097, 0.597, 0.500).

***

[17]
SrCrAg3 | PBE-GGA | relaxed

The energy above the most stable polymorph in this dataset is 924.5 meV/atom. The total magnetization is 0.990 μB/atom. The calculation puts the density of states at the Fermi level at 3.6 states/eV per cell. The energy of formation from the pure elements is 1.2893 eV/atom. The calculated total energy is -13.41 eV/cell.

The structure belongs to space group Pm-3m (No. 221); the cell edges are 5.685, 5.685 and 5.685 Å and the angles 90.00°, 90.00° and 90.00°. Symmetry generates all atoms from Sr at (0.000, 0.000, 0.000), Cr at (0.500, 0.500, 0.500) and Ag at (0.000, 0.000, 0.500).

***

[18]
FeMo3H | PBE-GGA | relaxed

The energy above the most stable polymorph in this dataset is 0.0 meV/atom. The total magnetization is 0.000 μB/atom. The calculation puts the density of states at the Fermi level at 6.0 states/eV per cell. The calculated total energy is -43.11 eV/cell.

The structure belongs to space group Pm-3m (No. 221); the cell edges are 3.936, 3.936 and 3.936 Å and the angles 90.00°, 90.00° and 90.00°. Symmetry generates all atoms from Fe at (0.000, 0.000, 0.000), Mo at (0.000, 0.500, 0.500) and H at (0.500, 0.500, 0.500).

***

[19]
Ba2Cd4In3Ge | PBE-GGA | relaxed

The total magnetization is 0.000 μB/atom. The calculation puts the density of states at the Fermi level at 4.7 states/eV per cell. The energy of formation from the pure elements is -0.3130 eV/atom. The calculated total energy is -23.47 eV/cell.

The structure belongs to space group P-4m2 (No. 115); the cell edges are 4.926, 4.926 and 12.002 Å and the angles 90.00°, 90.00° and 90.00°. Symmetry generates all atoms from Ba at (0.000, 0.500, 0.244), Cd at (0.000, 0.000, 0.500), Cd at (0.000, 0.500, 0.873), Cd at (0.500, 0.500, 0.500), In at (0.000, 0.000, 0.000), In at (0.000, 0.500, 0.635) and Ge at (0.500, 0.500, 0.000).

***

[20]
ReAgF2 | PBE-GGA | relaxed

The energy above the most stable polymorph in this dataset is 832.7 meV/atom. The total magnetization is 0.925 μB/atom. The calculation puts the density of states at the Fermi level at 4.7 states/eV per cell. The value obtained for the formation energy (no corrections) is -0.01 eV per atom. The calculated total energy is -76.35 eV/cell.

The structure belongs to space group I-42d (No. 122); the cell edges are 7.539, 7.539 and 5.490 Å and the angles 90.00°, 90.00° and 90.00°. Symmetry generates all atoms from Re at (0.000, 0.000, 0.000), Ag at (0.000, 0.000, 0.500) and F at (0.103, 0.750, 0.125).

***

[21]
Y3SnPd | PBE-GGA | relaxed

The energy above the most stable polymorph in this dataset is 225.5 meV/atom. The total magnetization is 0.000 μB/atom. The calculation puts the density of states at the Fermi level at 7.7 states/eV per cell. The energy of formation from the pure elements is -0.3645 eV/atom. The calculated total energy is -30.41 eV/cell.

The structure belongs to space group Pm-3m (No. 221); the cell edges are 5.364, 5.364 and 5.364 Å and the angles 90.00°, 90.00° and 90.00°. Symmetry generates all atoms from Y at (0.000, 0.000, 0.500), Sn at (0.500, 0.500, 0.500) and Pd at (0.000, 0.000, 0.000).

***

[22]
KSrY | PBE-GGA | relaxed

The energy above the most stable polymorph in this dataset is 606.9 meV/atom. The total magnetization is 0.010 μB/atom. The calculation puts the density of states at the Fermi level at 26.9 states/eV per cell. The energy of formation from the pure elements is 0.9112 eV/atom. The calculated total energy is -26.04 eV/cell.

The structure belongs to space group F-43m (No. 216); the cell edges are 9.050, 9.050 and 9.050 Å and the angles 90.00°, 90.00° and 90.00°. Symmetry generates all atoms from K at (0.000, 0.000, 0.000), Sr at (0.000, 0.000, 0.500) and Y at (0.250, 0.250, 0.750).

***

[23]
ZrBeSiN2 | PBE-GGA | relaxed

The total magnetization is 0.000 μB/atom. The calculation puts the density of states at the Fermi level at 3.2 states/eV per cell. The value obtained for the formation energy (no corrections) is 1.16 eV per atom. The calculated total energy is -28.56 eV/cell.

The structure belongs to space group P4/mmm (No. 123); the cell edges are 4.152, 4.152 and 4.980 Å and the angles 90.00°, 90.00° and 90.00°. Symmetry generates all atoms from Zr at (0.000, 0.000, 0.000), Be at (0.000, 0.000, 0.500), Si at (0.500, 0.500, 0.500) and N at (0.000, 0.500, 0.000).